Entry i
Here is NaHSeBr2 after structural relaxation from the Alexandria database. Energies are from PBE.

```
data_NaHSeBr2
_cell_length_a 5.482
_cell_length_b 5.482
_cell_length_c 3.596
_cell_angle_alpha 90.00
_cell_angle_beta 90.00
_cell_angle_gamma 90.00
_symmetry_space_group_name_H-M 'P 4/m m m'
_symmetry_Int_Tables_number 123
_symmetry_space_group_name_Hall '-P 4 2'
loop_
_atom_site_label
_atom_site_fract_x
_atom_site_fract_y
_atom_site_fract_z
Na1 0.000 0.000 0.000
H1 0.500 0.500 0.500
Se1 0.500 0.500 0.000
Br1 0.000 0.500 0.500
```

---

Entry ii
Here is NaHSeBr2 after structural relaxation from the Alexandria database. Energies are from PBE.

```
data_NaHSeBr2
_cell_length_a 5.620
_cell_length_b 5.620
_cell_length_c 5.834
_cell_angle_alpha 90.00
_cell_angle_beta 90.00
_cell_angle_gamma 90.00
_symmetry_space_group_name_H-M 'P 4/m m m'
_symmetry_Int_Tables_number 123
_symmetry_space_group_name_Hall '-P 4 2'
loop_
_atom_site_label
_atom_site_fract_x
_atom_site_fract_y
_atom_site_fract_z
Na1 0.000 0.000 0.000
H1 0.500 0.500 0.500
Se1 0.000 0.000 0.500
Br1 0.000 0.500 0.000
```

---

Most stable one: entry i, least stable one: entry ii.

---

Entry i
Here is NbHBr3 after structural relaxation from the Alexandria database. Energies are from PBE.

```
data_NbHBr3
_cell_length_a 4.628
_cell_length_b 4.628
_cell_length_c 4.628
_cell_angle_alpha 90.00
_cell_angle_beta 90.00
_cell_angle_gamma 90.00
_symmetry_space_group_name_H-M 'P m -3 m'
_symmetry_Int_Tables_number 221
_symmetry_space_group_name_Hall '-P 4 2 3'
loop_
_atom_site_label
_atom_site_fract_x
_atom_site_fract_y
_atom_site_fract_z
Nb1 0.000 0.000 0.000
H1 0.500 0.500 0.500
Br1 0.000 0.500 0.500
```

---

Entry ii
Here is NbHBr3 after structural relaxation from the Alexandria database. Energies are from PBE.

```
data_NbHBr3
_cell_length_a 5.195
_cell_length_b 5.195
_cell_length_c 5.195
_cell_angle_alpha 90.00
_cell_angle_beta 90.00
_cell_angle_gamma 90.00
_symmetry_space_group_name_H-M 'P m -3 m'
_symmetry_Int_Tables_number 221
_symmetry_space_group_name_Hall '-P 4 2 3'
loop_
_atom_site_label
_atom_site_fract_x
_atom_site_fract_y
_atom_site_fract_z
Nb1 0.000 0.000 0.000
H1 0.500 0.500 0.500
Br1 0.000 0.000 0.500
```

---

Most stable one: entry ii, least stable one: entry i.

---

Entry i
Here is NbHPdBr after structural relaxation from the Alexandria database. Energies are from PBE.

```
data_NbHPdBr
_cell_length_a 3.2048
_cell_length_b 3.2048
_cell_length_c 21.1410
_cell_angle_alpha 90.00
_cell_angle_beta 90.00
_cell_angle_gamma 120.00
_symmetry_space_group_name_H-M 'R 3 m'
_symmetry_Int_Tables_number 160
_symmetry_space_group_name_Hall 'R 3 -2"'
loop_
_atom_site_label
_atom_site_fract_x
_atom_site_fract_y
_atom_site_fract_z
Nb1 0.0000 0.0000 0.0000
H1 0.0000 0.0000 0.1003
Pd1 0.0000 0.0000 0.4379
Br1 0.0000 0.0000 0.5764
```

---

Entry ii
Here is NbHPdBr after structural relaxation from the Alexandria database. Energies are from PBE.

```
data_NbHPdBr
_cell_length_a 3.067
_cell_length_b 3.808
_cell_length_c 7.042
_cell_angle_alpha 75.62
_cell_angle_beta 78.14
_cell_angle_gamma 90.00
_symmetry_space_group_name_H-M 'P 1'
_symmetry_Int_Tables_number 1
_symmetry_space_group_name_Hall 'P 1'
loop_
_atom_site_label
_atom_site_fract_x
_atom_site_fract_y
_atom_site_fract_z
Nb1 0.000 0.000 0.000
H1 0.607 0.104 0.773
Pd1 0.587 0.584 0.816
Br1 0.354 0.858 0.310
```

---

Most stable one: entry i, least stable one: entry ii.

---

Entry i
Here is NbHPdBr after structural relaxation from the Alexandria database. Energies are from PBE.

```
data_NbHPdBr
_cell_length_a 3.156
_cell_length_b 3.300
_cell_length_c 6.939
_cell_angle_alpha 90.00
_cell_angle_beta 98.43
_cell_angle_gamma 90.00
_symmetry_space_group_name_H-M 'P 1 m 1'
_symmetry_Int_Tables_number 6
_symmetry_space_group_name_Hall 'P -2y'
loop_
_atom_site_label
_atom_site_fract_x
_atom_site_fract_y
_atom_site_fract_z
Nb1 0.000 0.000 0.000
H1 0.216 0.000 0.276
Pd1 0.565 0.500 0.219
Br1 0.890 0.500 0.706
```

---

Entry ii
Here is NbHPdBr after structural relaxation from the Alexandria database. Energies are from PBE.

```
data_NbHPdBr
_cell_length_a 3.2654
_cell_length_b 3.2654
_cell_length_c 6.7242
_cell_angle_alpha 90.00
_cell_angle_beta 90.00
_cell_angle_gamma 120.00
_symmetry_space_group_name_H-M 'P 3 m 1'
_symmetry_Int_Tables_number 156
_symmetry_space_group_name_Hall 'P 3 -2"'
loop_
_atom_site_label
_atom_site_fract_x
_atom_site_fract_y
_atom_site_fract_z
Nb1 0.0000 0.0000 0.0000
H1 0.6667 0.3333 0.8969
Pd1 0.3333 0.6667 0.6943
Br1 0.3333 0.6667 0.2870
```

---

Entry iii
Here is NbHPdBr after structural relaxation from the Alexandria database. Energies are from PBE.

```
data_NbHPdBr
_cell_length_a 3.140
_cell_length_b 3.315
_cell_length_c 6.223
_cell_angle_alpha 90.00
_cell_angle_beta 90.23
_cell_angle_gamma 90.00
_symmetry_space_group_name_H-M 'P 1 m 1'
_symmetry_Int_Tables_number 6
_symmetry_space_group_name_Hall 'P -2y'
loop_
_atom_site_label
_atom_site_fract_x
_atom_site_fract_y
_atom_site_fract_z
Nb1 0.000 0.000 0.000
H1 0.999 0.500 0.872
Pd1 0.503 0.500 0.264
Br1 0.497 0.000 0.660
```

---

Most stable one: entry ii, least stable one: entry i.

---

Entry i
Here is NbHPdBr after structural relaxation from the Alexandria database. Energies are from PBE.

```
data_NbHPdBr
_cell_length_a 5.557
_cell_length_b 3.312
_cell_length_c 6.926
_cell_angle_alpha 90.00
_cell_angle_beta 90.96
_cell_angle_gamma 90.00
_symmetry_space_group_name_H-M 'C 1 m 1'
_symmetry_Int_Tables_number 8
_symmetry_space_group_name_Hall 'C -2y'
loop_
_atom_site_label
_atom_site_fract_x
_atom_site_fract_y
_atom_site_fract_z
Nb1 0.000 0.000 0.000
H1 0.494 0.500 0.303
Pd1 0.160 0.500 0.300
Br1 0.158 0.500 0.732
```

---

Entry ii
Here is NbHPdBr after structural relaxation from the Alexandria database. Energies are from PBE.

```
data_NbHPdBr
_cell_length_a 5.496
_cell_length_b 3.174
_cell_length_c 7.151
_cell_angle_alpha 90.00
_cell_angle_beta 104.76
_cell_angle_gamma 90.00
_symmetry_space_group_name_H-M 'C 1 m 1'
_symmetry_Int_Tables_number 8
_symmetry_space_group_name_Hall 'C -2y'
loop_
_atom_site_label
_atom_site_fract_x
_atom_site_fract_y
_atom_site_fract_z
Nb1 0.000 0.000 0.000
H1 0.229 0.500 0.187
Pd1 0.440 0.000 0.320
Br1 0.074 0.500 0.719
```

---

Entry iii
Here is NbHPdBr after structural relaxation from the Alexandria database. Energies are from PBE.

```
data_NbHPdBr
_cell_length_a 3.3394
_cell_length_b 3.3394
_cell_length_c 19.9995
_cell_angle_alpha 90.00
_cell_angle_beta 90.00
_cell_angle_gamma 120.00
_symmetry_space_group_name_H-M 'R 3 m'
_symmetry_Int_Tables_number 160
_symmetry_space_group_name_Hall 'R 3 -2"'
loop_
_atom_site_label
_atom_site_fract_x
_atom_site_fract_y
_atom_site_fract_z
Nb1 0.0000 0.0000 0.0000
H1 0.0000 0.0000 0.3549
Pd1 0.0000 0.0000 0.5721
Br1 0.0000 0.0000 0.1269
```

---

Most stable one: entry i, least stable one: entry iii.

---

Entry i
Here is NdH2Br after structural relaxation from the Alexandria database. Energies are from PBE.

```
data_NdH2Br
_cell_length_a 3.9299
_cell_length_b 3.9299
_cell_length_c 10.8071
_cell_angle_alpha 90.00
_cell_angle_beta 90.00
_cell_angle_gamma 120.00
_symmetry_space_group_name_H-M 'P -3 m 1'
_symmetry_Int_Tables_number 164
_symmetry_space_group_name_Hall '-P 3 2"'
loop_
_atom_site_label
_atom_site_fract_x
_atom_site_fract_y
_atom_site_fract_z
Nd1 0.3333 0.6667 0.3441
H1 0.0000 0.0000 0.3640
H2 0.3333 0.6667 0.5608
Br1 0.3333 0.6667 0.8390
```

---

Entry ii
Here is NdH2Br after structural relaxation from the Alexandria database. Energies are from PBE.

```
data_NdH2Br
_cell_length_a 3.280
_cell_length_b 3.280
_cell_length_c 6.072
_cell_angle_alpha 90.00
_cell_angle_beta 90.00
_cell_angle_gamma 90.00
_symmetry_space_group_name_H-M 'P 4/m m m'
_symmetry_Int_Tables_number 123
_symmetry_space_group_name_Hall '-P 4 2'
loop_
_atom_site_label
_atom_site_fract_x
_atom_site_fract_y
_atom_site_fract_z
Nd1 0.000 0.000 0.000
H1 0.500 0.500 0.162
Br1 0.000 0.000 0.500
```

---

Most stable one: entry i, least stable one: entry ii.